No. 1
The following is a PBE-GGA calculation of a relaxed Pu2BeCuO8 crystal, from Alexandria.

Cell and atoms, written as POSCAR:
```
Pu2BeCuO8
1.0
3.0448 -3.3051 0.0000
3.0448 3.3051 0.0000
0.0000 0.0000 7.0489
Pu Be Cu O
2 1 1 8
Direct
0.0000 0.0000 0.2462
0.0000 0.0000 0.7538
0.5000 0.5000 0.0000
0.5000 0.5000 0.5000
0.2008 0.2008 0.5000
0.2341 0.2341 0.0000
0.2847 0.7153 0.2407
0.2847 0.7153 0.7593
0.7153 0.2847 0.2407
0.7153 0.2847 0.7593
0.7659 0.7659 0.0000
0.7992 0.7992 0.5000
```

- Total magnetic moment: 3.0 μB per formula unit
- Symmetry: Cmmm (65)
- ΔE_f (raw): -2.051 eV per atom

No. 2
The following is a PBE-GGA calculation of a relaxed Zr2HAu crystal, from Alexandria.

Cell and atoms, written as POSCAR:
```
Zr2HAu
1.0
2.0916 1.2076 4.6232
-2.0916 1.2076 4.6232
0.0000 -2.4151 4.6232
Zr H Au
2 1 1
Direct
0.2345 0.2345 0.2345
0.7655 0.7655 0.7655
0.5000 0.5000 0.5000
0.0000 0.0000 0.0000
```

- ΔE to the lowest computed polymorph: 141 kJ/mol of formula units
- Total magnetic moment: 0.0 μB per formula unit
- Symmetry: R-3m (166)

No. 3
The following is a PBE-GGA calculation of a relaxed CsKSb2 crystal, from Alexandria.

Cell and atoms, written as POSCAR:
```
CsKSb2
1.0
-5.1716 5.1716 3.1409
5.1716 -5.1716 3.1409
5.1716 5.1716 -3.1409
Cs K Sb
2 2 4
Direct
0.0000 0.0000 0.0000
0.7500 0.2500 0.5000
0.2500 0.7500 0.5000
0.5000 0.5000 0.0000
0.1403 0.6250 0.0153
0.3750 0.3903 0.5153
0.6097 0.1250 0.9847
0.8750 0.8597 0.4847
```

- ΔE to the lowest computed polymorph: 144 kJ/mol of formula units
- Total magnetic moment: 0.0 μB per formula unit
- Symmetry: I-42d (122)
- ΔE_f (raw): -0.026 eV per atom